No. 1
A plane-wave DFT calculation with PBE was carried out for a geometry-optimized Li2ZrRe structure.

Values from the calculation:
The symmetry is Cmm2. As for the total magnetization: 0.00 μB per formula unit. The formation energy is 191 meV/atom. For the energy above the most stable polymorph in this dataset, the calculation gives 0.000 eV/atom. As for the total energy: -6.0150 eV per atom. The density of states at the Fermi level is 2.41 states/eV/cell.

Cell and atoms, written as POSCAR:
```
Li2ZrRe
1.0
-1.747 0.653 2.062
1.267 -2.392 0.636
7.082 4.931 4.439
Li Re Zr
2 1 1
Direct
0.000 0.000 0.009
0.500 0.500 0.270
0.000 0.000 0.492
0.500 0.500 0.728
```

No. 2
A plane-wave DFT calculation with PBE was carried out for a geometry-optimized LiZr2Re structure.

Values from the calculation:
The symmetry is Imm2. As for the total magnetization: 0.00 μB per formula unit. The formation energy is 130 meV/atom. For the energy above the most stable polymorph in this dataset, the calculation gives 0.274 eV/atom. As for the total energy: -7.7346 eV per atom. The density of states at the Fermi level is 4.28 states/eV/cell.

Cell and atoms, written as POSCAR:
```
LiZr2Re
1.0
5.594 0.017 0.001
2.660 4.921 -0.001
-3.702 -3.179 2.735
Li Re Zr
1 1 2
Direct
0.476 0.476 0.000
0.249 0.749 0.500
0.027 0.027 0.000
0.748 0.248 0.500
```

No. 3
A plane-wave DFT calculation with PBE was carried out for a geometry-optimized LiZr2Re structure.

Values from the calculation:
The symmetry is Pmm2. As for the total magnetization: 0.00 μB per formula unit. The formation energy is 256 meV/atom. For the energy above the most stable polymorph in this dataset, the calculation gives 0.400 eV/atom. As for the total energy: -7.6084 eV per atom. The density of states at the Fermi level is 3.70 states/eV/cell.

Cell and atoms, written as POSCAR:
```
LiZr2Re
1.0
-1.203 2.272 1.035
-2.315 0.673 -4.168
-4.328 -3.153 1.894
Li Re Zr
1 1 2
Direct
0.000 0.000 0.492
0.500 0.500 0.777
0.000 0.000 0.966
0.500 0.500 0.265
```

No. 4
A plane-wave DFT calculation with PBE was carried out for a geometry-optimized Li2ZrRe structure.

Values from the calculation:
The symmetry is Pmmm. As for the total magnetization: 0.00 μB per formula unit. The formation energy is 258 meV/atom. For the energy above the most stable polymorph in this dataset, the calculation gives 0.067 eV/atom. As for the total energy: -5.9478 eV per atom. The density of states at the Fermi level is 2.03 states/eV/cell.

Cell and atoms, written as POSCAR:
```
Li2ZrRe
1.0
3.066 0.000 0.000
0.000 4.429 0.000
0.000 0.000 5.105
Li Re Zr
2 1 1
Direct
0.000 0.000 0.000
0.500 0.500 0.000
0.500 0.000 0.500
0.000 0.500 0.500
```

No. 5
A plane-wave DFT calculation with PBE was carried out for a geometry-optimized LiZr2Re structure.

Values from the calculation:
The symmetry is Cmm2. As for the total magnetization: 0.00 μB per formula unit. The formation energy is 242 meV/atom. For the energy above the most stable polymorph in this dataset, the calculation gives 0.385 eV/atom. As for the total energy: -7.6228 eV per atom. The density of states at the Fermi level is 3.58 states/eV/cell.

Cell and atoms, written as POSCAR:
```
LiZr2Re
1.0
2.895 -0.002 0.000
-1.122 2.669 0.000
0.000 0.000 9.899
Li Re Zr
1 1 2
Direct
0.000 0.000 0.528
0.500 0.500 0.750
0.000 0.000 0.970
0.500 0.500 0.252
```

No. 6
A plane-wave DFT calculation with PBE was carried out for a geometry-optimized LiZrRe structure.

Values from the calculation:
The symmetry is Imm2. As for the total magnetization: 0.00 μB per formula unit. The formation energy is 216 meV/atom. For the energy above the most stable polymorph in this dataset, the calculation gives 0.050 eV/atom. As for the total energy: -7.4205 eV per atom. The density of states at the Fermi level is 2.02 states/eV/cell.

Cell and atoms, written as POSCAR:
```
LiZrRe
1.0
5.027 -0.016 0.005
2.299 4.471 -0.005
-2.977 -3.356 2.269
Li Re Zr
1 1 1
Direct
0.996 0.996 0.000
0.333 0.333 0.000
0.671 0.671 0.000
```

No. 7
A plane-wave DFT calculation with PBE was carried out for a geometry-optimized LiZr2Re structure.

Values from the calculation:
The symmetry is Cmmm. As for the total magnetization: 0.00 μB per formula unit. The formation energy is 92 meV/atom. For the energy above the most stable polymorph in this dataset, the calculation gives 0.236 eV/atom. As for the total energy: -7.7723 eV per atom. The density of states at the Fermi level is 3.66 states/eV/cell.

Cell and atoms, written as POSCAR:
```
LiZr2Re
1.0
-0.628 2.373 1.661
-2.369 -1.743 -0.361
2.453 -5.010 8.087
Li Re Zr
1 1 2
Direct
0.500 0.500 0.250
0.500 0.500 0.750
0.000 0.000 0.971
0.000 0.000 0.529
```

No. 8
A plane-wave DFT calculation with PBE was carried out for a geometry-optimized LiZr3Re structure.

Values from the calculation:
The symmetry is Pm-3m. As for the total magnetization: 0.05 μB per formula unit. The formation energy is 567 meV/atom. For the energy above the most stable polymorph in this dataset, the calculation gives 0.000 eV/atom. As for the total energy: -7.4344 eV per atom. The density of states at the Fermi level is 10.09 states/eV/cell.

Cell and atoms, written as POSCAR:
```
LiZr3Re
1.0
5.132 0.000 0.000
0.000 5.132 0.000
0.000 0.000 5.132
Re Zr Li
1 3 1
Direct
0.000 0.000 0.000
0.000 0.500 0.000
0.000 0.000 0.500
0.500 0.000 0.000
0.500 0.500 0.500
```